# 1
A geometry-optimized Sc2TaCd structure, computed with PBE.

SG	P4/mmm (123)
ΔH_f (0 K)	12.2	kJ/mol of atoms

The structure in extended XYZ format:
```
4
Lattice="-4.204 -0.328 0.475 -0.487 -0.139 -4.404 0.356 -4.418 0.100" Properties=species:S:1:pos:R:3 pbc="T T T"
Cd -1.924 -2.373 0.288
Sc -0.065 -2.278 -2.152
Sc 0.000 0.000 0.000
Ta -2.345 -0.234 -1.965
```

# 2
A geometry-optimized Sc2PaGa2Ru5 structure, computed with PBE.

SG	P4/mbm (127)
ΔH_f (0 K)	-47.3	kJ/mol of atoms

The structure in extended XYZ format:
```
20
Lattice="3.602 0.000 0.000 0.000 9.653 0.000 0.000 0.000 9.653" Properties=species:S:1:pos:R:3 pbc="T T T"
Ru 1.801 0.721 7.713
Ru 1.801 4.105 2.886
Ga 0.000 3.587 1.240
Ru 1.801 1.941 0.721
Ga 0.000 6.067 8.413
Ru 1.801 8.932 1.941
Sc 0.000 8.046 6.434
Ru 1.801 0.000 4.827
Pa 0.000 0.000 0.000
Ru 1.801 2.886 5.548
Ga 0.000 1.240 6.067
Sc 0.000 1.607 3.219
Pa 0.000 4.827 4.827
Sc 0.000 6.434 1.607
Ga 0.000 8.413 3.587
Ru 1.801 7.713 8.932
Ru 1.801 5.548 6.767
Sc 0.000 3.219 8.046
Ru 1.801 4.827 0.000
Ru 1.801 6.767 4.105
```

# 3
A geometry-optimized Li3TmNp3S8 structure, computed with PBE.

SG	R-3m (166)
formation energy (no corrections)	-141.8	kJ/mol of atoms

The structure in extended XYZ format:
```
15
Lattice="-6.383 2.593 -3.820 -0.211 -0.975 7.813 4.152 5.552 -3.169" Properties=species:S:1:pos:R:3 pbc="T T T"
S 1.415 4.286 0.545
S -1.925 5.106 2.568
S 1.308 3.793 4.504
S -0.661 1.555 2.159
Li -0.106 -0.488 3.907
Np -1.221 3.585 0.412
S -3.749 3.377 -3.680
S -3.856 2.883 0.279
Tm 2.076 2.776 -1.584
S -1.781 5.615 -1.335
Np 1.971 2.289 2.322
S -0.516 2.064 -1.744
Np -1.115 4.073 -3.495
Li -3.297 0.809 1.997
Li 0.000 0.000 0.000
```

# 4
A geometry-optimized PtC2BrF structure, computed with PBE.

SG	P4/mmm (123)
formation energy (no corrections)	266.3	kJ/mol of atoms

The structure in extended XYZ format:
```
5
Lattice="-2.263 3.208 -0.626 0.586 -0.534 -4.856 -3.234 -2.308 -0.137" Properties=species:S:1:pos:R:3 pbc="T T T"
Br 0.000 0.000 0.000
F -2.455 0.183 -2.809
C -1.617 -1.154 -0.068
Pt 0.293 -0.267 -2.428
C -1.132 1.604 -0.313
```

# 5
A geometry-optimized MgBi2O5 structure, computed with PBE.

energy above the lowest structure with this stoichiometry	0.7	meV per atom
SG	P2_1/c (14)
formation energy (no corrections)	-132.0	kJ/mol of atoms

The structure in extended XYZ format:
```
32
Lattice="-2.534 4.720 -1.071 -4.991 -3.683 5.719 5.803 4.996 8.283" Properties=species:S:1:pos:R:3 pbc="T T T"
Bi 0.735 3.723 6.857
O -0.206 1.761 6.618
O 1.795 7.797 9.140
Bi -2.457 2.310 6.074
O 2.473 4.811 8.071
O -3.518 -1.763 3.790
O 0.415 4.766 4.254
Bi 2.306 3.963 9.965
O 0.462 1.474 3.812
Bi 1.585 3.145 3.283
Bi -1.589 5.481 11.234
O -2.137 1.268 8.676
O -4.226 -0.987 7.087
O -6.761 -0.123 4.957
O -2.763 3.416 4.026
Mg -1.696 5.144 4.424
O 0.666 5.225 10.633
O 2.367 2.931 5.366
Bi -3.308 2.888 9.647
Mg -0.026 0.889 8.506
O -2.388 0.808 2.297
Mg -4.812 -0.682 5.126
O -2.184 4.560 9.118
Bi -0.133 0.553 1.696
Mg 3.090 6.715 7.804
O -4.196 1.222 4.859
O 1.041 2.617 8.904
O -1.516 4.272 6.313
O 2.503 7.020 5.843
O -4.089 3.102 7.564
O 5.038 6.157 7.973
Bi -4.029 2.070 2.965
```

no.,density (g/cm3),density of states at the Fermi level (states/eV/f.u.),V (Å³/atom)
1,7.633,5.363,20.8
2,9.555,10.445,16.8
3,5.849,28.850,21.9
4,6.791,5.990,15.6
5,6.865,0.125,15.8